(1)
The following is a GGA-PBE calculation of an optimized crystal structure of CeScHgRu, from Alexandria via LeMat-Bulk.

Calculated density in Mg/m³: 9.5
Polymorph energy (0 for the lowest one) in meV/atom: 0
Energy of formation from the pure elements in eV/atom: -0.456
D(E_F) in states/eV/f.u.: 5.43

```
CeScHgRu
1.0
3.278 0.000 0.000
0.000 3.278 0.000
0.000 0.000 7.892
Ce Sc Hg Ru
1 1 1 1
Direct
0.500 0.500 0.784
0.500 0.500 0.355
0.000 0.000 0.098
0.000 0.000 0.548
```

=====

(2)
The following is a GGA-PBE calculation of an optimized crystal structure of TbYAlCu, from Alexandria via LeMat-Bulk.

Calculated density in Mg/m³: 6.1
Polymorph energy (0 for the lowest one) in meV/atom: 33
Energy of formation from the pure elements in eV/atom: -0.289
D(E_F) in states/eV/f.u.: 3.98

```
TbYAlCu
1.0
-3.575 1.175 -3.386
-3.635 -3.345 -1.107
-4.755 0.832 1.525
Y Tb Al Cu
1 1 1 1
Direct
0.250 0.250 0.250
0.750 0.750 0.750
0.500 0.500 0.500
0.000 0.000 0.000
```

=====

(3)
The following is a GGA-PBE calculation of an optimized crystal structure of Li2UIrO8, from Alexandria via LeMat-Bulk.

Calculated density in Mg/m³: 6.6
Energy relative to the elements, uncorrected in eV/atom: -1.69
D(E_F) in states/eV/f.u.: 3.31

```
Li2UIrO8
1.0
4.732 -0.066 -0.003
-0.061 4.725 -0.005
0.004 0.007 6.477
U O Li Ir
1 8 2 1
Direct
0.000 0.000 0.500
0.714 0.716 0.500
0.286 0.284 0.500
0.810 0.191 0.775
0.190 0.809 0.225
0.190 0.809 0.775
0.810 0.191 0.225
0.275 0.274 0.000
0.725 0.726 0.000
0.500 0.500 0.238
0.500 0.500 0.762
0.000 0.000 0.000
```

=====

Let's list total moment in order: 0.00 0.00 0.00 Bohr magnetons per cell.